A relaxed BeTe2HN crystal, computed with PBE.

Unit cell a=5.289 b=5.289 c=3.063 alpha=90.00 beta=90.00 gamma=90.00
Space group P4/mmm (No. 123)
Inequivalent atoms, fractional coordinates:
Be  0.000  0.000  0.000
Te  0.000  0.500  0.000
H  0.500  0.500  0.500
N  0.000  0.000  0.500

Summary:
VASP energy (eV/atom): -3.57
ρ (g/cm3): 5.41
ΔE to the lowest computed polymorph (meV/atom): 0

=====

A relaxed BeTe2HN crystal, computed with PBE.

Unit cell a=5.068 b=5.068 c=2.891 alpha=90.00 beta=90.00 gamma=90.00
Space group P4/mmm (No. 123)
Inequivalent atoms, fractional coordinates:
Be  0.000  0.000  0.000
Te  0.000  0.500  0.500
H  0.500  0.500  0.500
N  0.500  0.500  0.000

Summary:
VASP energy (eV/atom): -3.22
ρ (g/cm3): 6.24
ΔE to the lowest computed polymorph (meV/atom): 353

=====

A relaxed BeTeHN2 crystal, computed with PBE.

Unit cell a=3.257 b=3.257 c=5.788 alpha=90.00 beta=90.00 gamma=90.00
Space group P4/mmm (No. 123)
Inequivalent atoms, fractional coordinates:
Be  0.000  0.000  0.000
Te  0.000  0.000  0.500
H  0.500  0.500  0.500
N  0.000  0.500  0.000

Summary:
VASP energy (eV/atom): -4.12
ρ (g/cm3): 4.48
ΔE to the lowest computed polymorph (meV/atom): 0

=====

A relaxed NaBeH3 crystal, computed with PBE.

Unit cell a=2.783 b=12.342 c=5.610 alpha=90.00 beta=90.00 gamma=90.00
Space group Cmcm (No. 63)
Inequivalent atoms, fractional coordinates:
Na  0.000  0.167  0.250
Be  0.000  0.409  0.250
H  0.000  0.029  0.750
H  0.000  0.344  0.044

Summary:
VASP energy (eV/atom): -3.13
ρ (g/cm3): 1.21
ΔE to the lowest computed polymorph (meV/atom): 105

=====

A relaxed Na4BeH5 crystal, computed with PBE.

Unit cell a=7.477 b=7.477 c=4.586 alpha=90.00 beta=90.00 gamma=90.00
Space group I4 (No. 79)
Inequivalent atoms, fractional coordinates:
Na  0.115  0.296  0.000
Be  0.000  0.000  0.437
H  0.000  0.000  0.113
H  0.075  0.204  0.507

Summary:
VASP energy (eV/atom): -2.58
ρ (g/cm3): 1.37

=====

A relaxed Na3BeH crystal, computed with PBE.

Unit cell a=4.655 b=4.655 c=4.655 alpha=90.00 beta=90.00 gamma=90.00
Space group Pm-3m (No. 221)
Inequivalent atoms, fractional coordinates:
Na  0.000  0.000  0.500
Be  0.500  0.500  0.500
H  0.000  0.000  0.000

Summary:
VASP energy (eV/atom): -1.81
ρ (g/cm3): 1.30
ΔE to the lowest computed polymorph (meV/atom): 0

=====

A relaxed Na2BeH crystal, computed with PBE.

Unit cell a=6.769 b=6.769 c=6.769 alpha=90.00 beta=90.00 gamma=90.00
Space group Fm-3m (No. 225)
Inequivalent atoms, fractional coordinates:
Na  0.250  0.250  0.250
Be  0.000  0.000  0.000
H  0.000  0.000  0.500

Summary:
VASP energy (eV/atom): -1.66
ρ (g/cm3): 1.20
ΔE to the lowest computed polymorph (meV/atom): 179

=====

A relaxed NaBe3H crystal, computed with PBE.

Unit cell a=4.945 b=4.945 c=4.945 alpha=90.00 beta=90.00 gamma=90.00
Space group Pm-3m (No. 221)
Inequivalent atoms, fractional coordinates:
Na  0.000  0.000  0.000
Be  0.000  0.000  0.500
H  0.500  0.500  0.500

Summary:
VASP energy (eV/atom): -0.85
ρ (g/cm3): 0.70
ΔE to the lowest computed polymorph (meV/atom): 1492

=====

A relaxed NaBe3H crystal, computed with PBE.

Unit cell a=3.740 b=3.740 c=3.740 alpha=90.00 beta=90.00 gamma=90.00
Space group Pm-3m (No. 221)
Inequivalent atoms, fractional coordinates:
Na  0.000  0.000  0.000
Be  0.000  0.500  0.500
H  0.500  0.500  0.500

Summary:
VASP energy (eV/atom): -2.34
ρ (g/cm3): 1.62
ΔE to the lowest computed polymorph (meV/atom): 0

=====

A relaxed Na2BeH4 crystal, computed with PBE.

Unit cell a=3.349 b=3.349 c=11.504 alpha=90.00 beta=90.00 gamma=90.00
Space group I4/mmm (No. 139)
Inequivalent atoms, fractional coordinates:
Na  0.000  0.000  0.142
Be  0.000  0.000  0.500
H  0.000  0.000  0.354
H  0.000  0.500  0.000

Summary:
VASP energy (eV/atom): -2.94
ρ (g/cm3): 1.52
ΔE to the lowest computed polymorph (meV/atom): 133

=====

A relaxed Na2BeH crystal, computed with PBE.

Unit cell a=6.849 b=6.849 c=6.581 alpha=90.00 beta=90.00 gamma=90.00
Space group I-42d (No. 122)
Inequivalent atoms, fractional coordinates:
Na  0.162  0.750  0.125
Be  0.000  0.000  0.500
H  0.000  0.000  0.000

Summary:
VASP energy (eV/atom): -1.84
ρ (g/cm3): 1.20
ΔE to the lowest computed polymorph (meV/atom): 0

=====

A relaxed Na2Be2H5 crystal, computed with PBE.

Unit cell a=9.804 b=3.371 c=5.408 alpha=90.00 beta=107.81 gamma=90.00
Space group C2/m (No. 12)
Inequivalent atoms, fractional coordinates:
Na  0.095  0.000  0.326
Be  0.171  0.500  0.918
H  0.000  0.500  0.000
H  0.125  0.500  0.641
H  0.171  0.000  0.973

Summary:
VASP energy (eV/atom): -2.96
ρ (g/cm3): 1.35